Record 1
Here is crystalline RbBiSb at its relaxed geometry from Alexandria via LeMat-Bulk. Energies are from PBE.

```
data_RbBiSb
_space_group_name_H-M_alt 'P 1'
_space_group_IT_number 1
_space_group_name_Hall 'P 1'
_cell_length_a 5.125
_cell_length_b 5.125
_cell_length_c 13.896
_cell_angle_alpha 105.25
_cell_angle_beta 105.25
_cell_angle_gamma 50.11
loop_
_atom_site_label
_atom_site_type_symbol
_atom_site_fract_x
_atom_site_fract_y
_atom_site_fract_z
_atom_site_occupancy
Rb1 Rb 0.244 0.244 0.243 1
Rb2 Rb 0.756 0.756 0.757 1
Bi1 Bi 0.364 0.364 0.549 1
Bi2 Bi 0.636 0.636 0.451 1
Sb1 Sb 0.146 0.146 0.958 1
Sb2 Sb 0.854 0.854 0.042 1
```

Properties
ΔE_f (raw) ... -0.211 eV/atom
V ... 268 Å³ per cell
Total magnetic moment ... 0.00 μB/cell

***

Record 2
Here is crystalline Rb3Bi2Sb2 at its relaxed geometry from Alexandria via LeMat-Bulk. Energies are from PBE.

```
data_Rb3Bi2Sb2
_space_group_name_H-M_alt 'P 1'
_space_group_IT_number 1
_space_group_name_Hall 'P 1'
_cell_length_a 7.176
_cell_length_b 10.246
_cell_length_c 16.363
_cell_angle_alpha 90.00
_cell_angle_beta 90.00
_cell_angle_gamma 90.00
loop_
_atom_site_label
_atom_site_type_symbol
_atom_site_fract_x
_atom_site_fract_y
_atom_site_fract_z
_atom_site_occupancy
Rb1 Rb 0.123 0.114 0.103 1
Rb2 Rb 0.123 0.114 0.397 1
Rb3 Rb 0.123 0.386 0.603 1
Rb4 Rb 0.123 0.386 0.897 1
Rb5 Rb 0.339 0.744 0.750 1
Rb6 Rb 0.339 0.756 0.250 1
Rb7 Rb 0.661 0.244 0.750 1
Rb8 Rb 0.661 0.256 0.250 1
Rb9 Rb 0.877 0.614 0.103 1
Rb10 Rb 0.877 0.614 0.397 1
Rb11 Rb 0.877 0.886 0.603 1
Rb12 Rb 0.877 0.886 0.897 1
Bi1 Bi 0.383 0.039 0.596 1
Bi2 Bi 0.383 0.039 0.904 1
Bi3 Bi 0.383 0.461 0.096 1
Bi4 Bi 0.383 0.461 0.404 1
Bi5 Bi 0.617 0.539 0.596 1
Bi6 Bi 0.617 0.539 0.904 1
Bi7 Bi 0.617 0.961 0.096 1
Bi8 Bi 0.617 0.961 0.404 1
Sb1 Sb 0.169 0.101 0.750 1
Sb2 Sb 0.169 0.399 0.250 1
Sb3 Sb 0.389 0.750 0.000 1
Sb4 Sb 0.389 0.750 0.500 1
Sb5 Sb 0.611 0.250 0.000 1
Sb6 Sb 0.611 0.250 0.500 1
Sb7 Sb 0.831 0.601 0.750 1
Sb8 Sb 0.831 0.899 0.250 1
```

Properties
ΔE_f (raw) ... -0.327 eV/atom
V ... 1203 Å³ per cell
Total magnetic moment ... 0.00 μB/cell

***

Record 3
Here is crystalline RbBi3Sb at its relaxed geometry from Alexandria via LeMat-Bulk. Energies are from PBE.

```
data_RbBi3Sb
_space_group_name_H-M_alt 'P 1'
_space_group_IT_number 1
_space_group_name_Hall 'P 1'
_cell_length_a 6.037
_cell_length_b 6.037
_cell_length_c 6.037
_cell_angle_alpha 90.00
_cell_angle_beta 90.00
_cell_angle_gamma 90.00
loop_
_atom_site_label
_atom_site_type_symbol
_atom_site_fract_x
_atom_site_fract_y
_atom_site_fract_z
_atom_site_occupancy
Rb1 Rb 0.000 0.000 0.000 1
Bi1 Bi 0.000 0.000 0.500 1
Bi2 Bi 0.000 0.500 0.000 1
Bi3 Bi 0.500 0.000 0.000 1
Sb1 Sb 0.500 0.500 0.500 1
```

Properties
ΔE_f (raw) ... 1.396 eV/atom
V ... 220 Å³ per cell
Offset from the most stable computed form ... 1.4539 eV/atom
Total magnetic moment ... 0.00 μB/cell

***

Record 4
Here is crystalline RbBi2Sb2 at its relaxed geometry from Alexandria via LeMat-Bulk. Energies are from PBE.

```
data_RbBi2Sb2
_space_group_name_H-M_alt 'P 1'
_space_group_IT_number 1
_space_group_name_Hall 'P 1'
_cell_length_a 7.064
_cell_length_b 7.064
_cell_length_c 7.064
_cell_angle_alpha 131.19
_cell_angle_beta 131.19
_cell_angle_gamma 71.52
loop_
_atom_site_label
_atom_site_type_symbol
_atom_site_fract_x
_atom_site_fract_y
_atom_site_fract_z
_atom_site_occupancy
Rb1 Rb 0.000 0.000 0.000 1
Bi1 Bi 0.352 0.352 0.000 1
Bi2 Bi 0.648 0.648 0.000 1
Sb1 Sb 0.250 0.750 0.500 1
Sb2 Sb 0.750 0.250 0.500 1
```

Properties
ΔE_f (raw) ... -0.160 eV/atom
V ... 195 Å³ per cell
Offset from the most stable computed form ... 0.0000 eV/atom
Total magnetic moment ... 0.00 μB/cell

***

Record 5
Here is crystalline Rb3BiSb at its relaxed geometry from Alexandria via LeMat-Bulk. Energies are from PBE.

```
data_Rb3BiSb
_space_group_name_H-M_alt 'P 1'
_space_group_IT_number 1
_space_group_name_Hall 'P 1'
_cell_length_a 9.699
_cell_length_b 9.699
_cell_length_c 5.865
_cell_angle_alpha 90.00
_cell_angle_beta 90.00
_cell_angle_gamma 109.32
loop_
_atom_site_label
_atom_site_type_symbol
_atom_site_fract_x
_atom_site_fract_y
_atom_site_fract_z
_atom_site_occupancy
Rb1 Rb 0.114 0.886 0.500 1
Rb2 Rb 0.157 0.462 0.499 1
Rb3 Rb 0.462 0.157 0.999 1
Rb4 Rb 0.538 0.843 0.499 1
Rb5 Rb 0.843 0.538 0.999 1
Rb6 Rb 0.886 0.114 0.000 1
Bi1 Bi 0.450 0.550 0.998 1
Bi2 Bi 0.550 0.450 0.498 1
Sb1 Sb 0.258 0.742 0.000 1
Sb2 Sb 0.742 0.258 0.500 1
```

Properties
ΔE_f (raw) ... -0.290 eV/atom
V ... 521 Å³ per cell
Offset from the most stable computed form ... 0.0000 eV/atom
Total magnetic moment ... 0.00 μB/cell

***

Record 6
Here is crystalline RbBi3Sb at its relaxed geometry from Alexandria via LeMat-Bulk. Energies are from PBE.

```
data_RbBi3Sb
_space_group_name_H-M_alt 'P 1'
_space_group_IT_number 1
_space_group_name_Hall 'P 1'
_cell_length_a 6.011
_cell_length_b 6.011
_cell_length_c 6.011
_cell_angle_alpha 90.00
_cell_angle_beta 90.00
_cell_angle_gamma 90.00
loop_
_atom_site_label
_atom_site_type_symbol
_atom_site_fract_x
_atom_site_fract_y
_atom_site_fract_z
_atom_site_occupancy
Rb1 Rb 0.000 0.000 0.000 1
Bi1 Bi 0.000 0.500 0.500 1
Bi2 Bi 0.500 0.000 0.500 1
Bi3 Bi 0.500 0.500 0.000 1
Sb1 Sb 0.500 0.500 0.500 1
```

Properties
ΔE_f (raw) ... 0.288 eV/atom
V ... 217 Å³ per cell
Offset from the most stable computed form ... 0.3464 eV/atom
Total magnetic moment ... 0.00 μB/cell

***

Record 7
Here is crystalline RbBi2Sb2 at its relaxed geometry from Alexandria via LeMat-Bulk. Energies are from PBE.

```
data_RbBi2Sb2
_space_group_name_H-M_alt 'P 1'
_space_group_IT_number 1
_space_group_name_Hall 'P 1'
_cell_length_a 9.357
_cell_length_b 9.357
_cell_length_c 4.016
_cell_angle_alpha 90.00
_cell_angle_beta 90.00
_cell_angle_gamma 90.00
loop_
_atom_site_label
_atom_site_type_symbol
_atom_site_fract_x
_atom_site_fract_y
_atom_site_fract_z
_atom_site_occupancy
Rb1 Rb 0.000 0.000 0.000 1
Rb2 Rb 0.500 0.500 0.000 1
Bi1 Bi 0.131 0.369 0.500 1
Bi2 Bi 0.369 0.869 0.500 1
Bi3 Bi 0.631 0.131 0.500 1
Bi4 Bi 0.869 0.631 0.500 1
Sb1 Sb 0.147 0.647 0.000 1
Sb2 Sb 0.353 0.147 0.000 1
Sb3 Sb 0.647 0.853 0.000 1
Sb4 Sb 0.853 0.353 0.000 1
```

Properties
ΔE_f (raw) ... -0.007 eV/atom
V ... 352 Å³ per cell
Offset from the most stable computed form ... 0.1532 eV/atom
Total magnetic moment ... 0.00 μB/cell

***

Record 8
Here is crystalline Rb2Bi2Sb at its relaxed geometry from Alexandria via LeMat-Bulk. Energies are from PBE.

```
data_Rb2Bi2Sb
_space_group_name_H-M_alt 'P 1'
_space_group_IT_number 1
_space_group_name_Hall 'P 1'
_cell_length_a 5.709
_cell_length_b 7.261
_cell_length_c 12.908
_cell_angle_alpha 90.60
_cell_angle_beta 102.71
_cell_angle_gamma 113.02
loop_
_atom_site_label
_atom_site_type_symbol
_atom_site_fract_x
_atom_site_fract_y
_atom_site_fract_z
_atom_site_occupancy
Rb1 Rb 0.088 0.268 0.407 1
Rb2 Rb 0.310 0.312 0.811 1
Rb3 Rb 0.690 0.688 0.189 1
Rb4 Rb 0.912 0.732 0.593 1
Bi1 Bi 0.215 0.904 0.025 1
Bi2 Bi 0.376 0.851 0.400 1
Bi3 Bi 0.624 0.149 0.600 1
Bi4 Bi 0.785 0.096 0.975 1
Sb1 Sb 0.437 0.135 0.236 1
Sb2 Sb 0.563 0.865 0.764 1
```

Properties
ΔE_f (raw) ... -0.268 eV/atom
V ... 478 Å³ per cell
Offset from the most stable computed form ... 0.0000 eV/atom
Total magnetic moment ... 0.00 μB/cell

***

Please write out number 6 again, unchanged.
Here is crystalline RbBi3Sb at its relaxed geometry from Alexandria via LeMat-Bulk. Energies are from PBE.

```
data_RbBi3Sb
_space_group_name_H-M_alt 'P 1'
_space_group_IT_number 1
_space_group_name_Hall 'P 1'
_cell_length_a 6.011
_cell_length_b 6.011
_cell_length_c 6.011
_cell_angle_alpha 90.00
_cell_angle_beta 90.00
_cell_angle_gamma 90.00
loop_
_atom_site_label
_atom_site_type_symbol
_atom_site_fract_x
_atom_site_fract_y
_atom_site_fract_z
_atom_site_occupancy
Rb1 Rb 0.000 0.000 0.000 1
Bi1 Bi 0.000 0.500 0.500 1
Bi2 Bi 0.500 0.000 0.500 1
Bi3 Bi 0.500 0.500 0.000 1
Sb1 Sb 0.500 0.500 0.500 1
```

Properties
ΔE_f (raw) ... 0.288 eV/atom
V ... 217 Å³ per cell
Offset from the most stable computed form ... 0.3464 eV/atom
Total magnetic moment ... 0.00 μB/cell